Record 1
The following is a PBE calculation of crystalline KCoW2 at its relaxed geometry, from Alexandria via LeMat-Bulk.

Unit cell a=6.1771 b=6.1771 c=5.0635 alpha=65.88 beta=65.88 gamma=24.39
Each line ends with the local moment (μB).
Fractional coordinates of all 4 atoms:
1 W 0.4528 0.4528 0.5474  -0.04
2 W 0.0472 0.0472 0.9526  -0.04
3 K 0.2500 0.2500 0.2500  -0.01
4 Co 0.7500 0.7500 0.7500  0.64

Calculated values
Uncorrected energy   -29.9 eV/cell
Energy relative to the lowest polymorph listed for this composition   241 meV/atom
DFT formation energy   404 kJ/mol of formula units



Record 2
The following is a PBE calculation of crystalline KCo2W at its relaxed geometry, from Alexandria via LeMat-Bulk.

Unit cell a=8.8962 b=8.8962 c=8.8962 alpha=20.33 beta=20.33 gamma=20.33
Fractional coordinates of all 4 atoms:
1 Co 0.4765 0.4765 0.4765
2 Co 0.0235 0.0235 0.0235
3 K 0.2500 0.2500 0.2500
4 W 0.7500 0.7500 0.7500

Calculated values
Uncorrected energy   -25.1 eV/cell
Energy relative to the lowest polymorph listed for this composition   214 meV/atom
DFT formation energy   302 kJ/mol of formula units



Record 3
The following is a PBE calculation of crystalline KCoW at its relaxed geometry, from Alexandria via LeMat-Bulk.

Unit cell a=7.2462 b=7.2462 c=3.0443 alpha=77.87 beta=77.87 gamma=24.25
Fractional coordinates of all 3 atoms:
1 Co 0.0385 0.0385 0.9615
2 W 0.6164 0.6164 0.3836
3 K 0.3451 0.3451 0.6549

Calculated values
Uncorrected energy   -18.4 eV/cell
Energy relative to the lowest polymorph listed for this composition   0 meV/atom
DFT formation energy   270 kJ/mol of formula units



Record 4
The following is a PBE calculation of crystalline KCoW2 at its relaxed geometry, from Alexandria via LeMat-Bulk.

Unit cell a=2.6934 b=3.6692 c=8.4303 alpha=90.00 beta=90.00 gamma=90.00
Each line ends with the local moment (μB).
Fractional coordinates of all 4 atoms:
1 K 0.5000 0.5000 0.7500  0.00
2 W 0.0000 0.0000 0.1026  0.01
3 W 0.0000 0.0000 0.3974  0.01
4 Co 0.5000 0.5000 0.2500  0.57

Calculated values
Uncorrected energy   -30.3 eV/cell
Energy relative to the lowest polymorph listed for this composition   150 meV/atom
DFT formation energy   369 kJ/mol of formula units



Record 5
The following is a PBE calculation of crystalline KCoW2 at its relaxed geometry, from Alexandria via LeMat-Bulk.

Unit cell a=4.5993 b=4.5993 c=4.5993 alpha=60.00 beta=60.00 gamma=60.00
Each line ends with the local moment (μB).
Fractional coordinates of all 4 atoms:
1 W 0.2500 0.2500 0.2500  -0.04
2 W 0.0000 0.0000 0.0000  0.30
3 K 0.7500 0.7500 0.7500  0.00
4 Co 0.5000 0.5000 0.5000  1.55

Calculated values
Uncorrected energy   -27.6 eV/cell
Energy relative to the lowest polymorph listed for this composition   821 meV/atom
DFT formation energy   628 kJ/mol of formula units



Record 6
The following is a PBE calculation of crystalline KCoW2 at its relaxed geometry, from Alexandria via LeMat-Bulk.

Unit cell a=2.8065 b=2.8065 c=9.4685 alpha=90.00 beta=90.00 gamma=90.00
Fractional coordinates of all 4 atoms:
1 W 0.5000 0.5000 0.2843
2 W 0.0000 0.0000 0.0555
3 K 0.5000 0.5000 0.7211
4 Co 0.0000 0.0000 0.4391

Calculated values
Uncorrected energy   -30.7 eV/cell
Energy relative to the lowest polymorph listed for this composition   43 meV/atom
DFT formation energy   328 kJ/mol of formula units